1.
## ZnAg2Rh (GGA-PBE)

Data for a relaxed ZnAg2Rh crystal.

POSCAR file:
```
ZnAg2Rh
1.0
0.000 3.165 3.165
3.165 0.000 3.165
3.165 3.165 0.000
Zn Ag Rh
1 2 1
Cartesian
0.000 0.000 0.000
3.165 3.165 3.165
4.748 4.748 4.748
1.583 1.583 1.583
```

Raw total energy: -3.5825 eV/atom
SG: F-43m (216)

2.
## NaPmAlAu (GGA-PBE)

Data for a relaxed NaPmAlAu crystal.

POSCAR file:
```
NaPmAlAu
1.0
0.000 3.496 3.496
3.496 0.000 3.496
3.496 3.496 0.000
Na Pm Al Au
1 1 1 1
Cartesian
0.000 0.000 0.000
1.748 1.748 1.748
5.244 5.244 5.244
3.496 3.496 3.496
```

Raw total energy: -3.6391 eV/atom
SG: F-43m (216)

3.
## Sb2Rh (GGA-PBE)

Data for a relaxed Sb2Rh crystal.

POSCAR file:
```
Sb2Rh
1.0
1.914 -6.497 0.000
1.914 6.497 0.000
0.000 0.000 5.369
Sb Rh
4 2
Cartesian
1.914 5.835 4.027
1.914 2.066 4.027
1.914 -2.066 1.342
1.914 -5.835 1.342
1.914 2.556 1.342
1.914 -2.556 4.027
```

Formation energy (no corrections): -0.667 eV/f.u.
SG: Cmcm (63)

4.
## Cd3Se4 (GGA-PBE)

Data for a relaxed Cd3Se4 crystal.

POSCAR file:
```
Cd3Se4
1.0
11.096 -4.640 0.000
11.096 4.640 0.000
-3.796 0.000 9.663
Cd Se
12 16
Cartesian
6.260 1.801 1.127
8.862 2.715 3.365
11.096 3.072 0.000
10.726 3.055 7.682
12.304 1.929 4.334
6.260 -1.801 1.127
14.701 1.887 6.732
8.862 -2.715 3.365
11.096 -3.072 0.000
12.304 -1.929 4.334
10.726 -3.055 7.682
14.701 -1.887 6.732
-0.528 0.000 2.252
6.236 3.432 7.256
3.434 1.213 4.499
-1.399 0.000 9.550
9.996 1.808 5.572
3.434 -1.213 4.499
7.116 0.000 2.731
10.961 1.236 1.924
12.850 1.806 8.592
10.961 -1.236 1.924
17.433 1.205 3.318
14.229 0.000 4.735
9.996 -1.808 5.572
6.236 -3.432 7.256
12.850 -1.806 8.592
17.433 -1.205 3.318
```

Energy above the most stable polymorph in this dataset: 0.070 eV/atom
Formation energy (no corrections): -2.055 eV/f.u.
SG: Cm (8)

5.
## CaTePdO6 (GGA-PBE)

Data for a relaxed CaTePdO6 crystal.

POSCAR file:
```
CaTePdO6
1.0
5.236 0.000 0.000
-2.618 4.534 0.000
0.000 0.000 10.208
Ca Te Pd O
2 2 2 12
Cartesian
0.000 0.000 0.000
0.000 0.000 5.104
0.000 3.023 2.552
2.618 1.511 7.656
0.000 3.023 7.656
2.618 1.511 2.552
-0.919 1.680 1.454
-1.622 2.899 3.650
0.919 1.680 3.650
-0.704 4.490 1.454
1.914 0.044 6.558
0.996 1.636 8.753
1.622 2.899 1.454
0.704 4.490 3.650
3.321 0.044 8.753
1.699 2.854 6.558
4.240 1.636 6.558
3.537 2.854 8.753
```

Formation energy (no corrections): -12.268 eV/f.u.
SG: P-31c (163)

6.
## Th4CdAu3 (GGA-PBE)

Data for a relaxed Th4CdAu3 crystal.

POSCAR file:
```
Th4CdAu3
1.0
10.652 0.000 0.000
0.000 7.034 0.000
0.000 0.000 5.559
Th Cd Au
8 2 6
Cartesian
0.000 1.738 0.000
0.000 5.295 0.000
2.663 1.714 2.345
2.663 5.319 2.345
5.326 1.738 0.000
5.326 5.295 0.000
7.989 1.714 3.215
7.989 5.319 3.215
0.000 3.517 2.780
5.326 3.517 2.780
0.000 0.000 2.780
2.663 0.000 5.095
2.663 3.517 4.961
5.326 0.000 2.780
7.989 0.000 0.465
7.989 3.517 0.598
```

Raw total energy: -5.4675 eV/atom
SG: Pmma (51)

7.
## Er8FeCo2 (GGA-PBE)

Data for a relaxed Er8FeCo2 crystal.

POSCAR file:
```
Er8FeCo2
1.0
8.389 -2.429 0.000
8.389 2.429 0.000
-1.970 0.000 6.282
Er Fe Co
8 1 2
Cartesian
-0.008 0.000 1.864
1.766 0.000 5.141
4.498 0.000 3.324
6.706 0.000 0.332
8.102 0.000 5.950
10.310 0.000 2.958
13.042 0.000 1.141
14.816 0.000 4.418
7.404 0.000 3.141
2.745 0.000 1.270
12.063 0.000 5.012
```

Energy above the most stable polymorph in this dataset: 0.000 eV/atom
SG: C2/m (12)

8.
## NdDyAgRh (GGA-PBE)

Data for a relaxed NdDyAgRh crystal.

POSCAR file:
```
NdDyAgRh
1.0
0.000 3.585 3.585
3.585 0.000 3.585
3.585 3.585 0.000
Nd Dy Ag Rh
1 1 1 1
Cartesian
0.000 0.000 0.000
3.585 3.585 3.585
1.793 1.793 1.793
5.378 5.378 5.378
```

Raw total energy: -5.3900 eV/atom
SG: F-43m (216)

9.
## ErZn3Cu (GGA-PBE)

Data for a relaxed ErZn3Cu crystal.

POSCAR file:
```
ErZn3Cu
1.0
2.812 -5.520 0.000
2.812 5.520 0.000
0.000 0.000 5.626
Er Zn Cu
2 6 2
Cartesian
2.812 2.779 4.219
2.812 -2.779 1.406
2.812 3.973 1.406
1.460 0.000 0.000
1.460 0.000 2.813
4.164 0.000 0.000
4.164 0.000 2.813
2.812 -3.973 4.219
2.812 1.583 1.406
2.812 -1.583 4.219
```

Raw total energy: -2.7600 eV/atom
SG: Cmcm (63)